# 1
Material: CrNiIr2
Method: DFT, PBE-GGA
State: relaxed

extended XYZ file:
```
4
Lattice="4.0012 0.0000 0.0000 0.0000 2.6725 0.0988 0.0000 1.1589 4.9006" Properties=species:S:1:pos:R:3 pbc="T T T"
Cr 2.0006 2.3712 3.7628
Ir 0.0000 3.6701 4.8093
Ir 2.0006 1.1186 1.4580
Ni 0.0000 2.4187 2.4684
```

Calculated formation energy (eV per atom): -0.039
Crystal system: orthorhombic
Space-group type: No. 38



# 2
Material: ZrTa2Cd
Method: DFT, PBE-GGA
State: relaxed

extended XYZ file:
```
4
Lattice="5.0798 0.0000 0.0000 0.0000 2.8439 -0.0099 0.0000 0.7250 5.4986" Properties=species:S:1:pos:R:3 pbc="T T T"
Cd 2.5399 2.6767 4.1165
Ta 0.0000 2.8141 0.0691
Ta 0.0000 1.8142 2.6654
Zr 2.5399 0.8922 1.3722
```

Calculated formation energy (eV per atom): 0.214
Crystal system: monoclinic
Space-group type: No. 10



# 3
Material: MgCoPd2
Method: DFT, PBE-GGA
State: relaxed

extended XYZ file:
```
4
Lattice="-0.8993 1.5691 -2.2600 2.9338 -2.1345 -2.6494 -3.1028 -3.1138 -0.9272" Properties=species:S:1:pos:R:3 pbc="T T T"
Mg -0.5341 -1.8396 -2.9183
Co -0.4497 0.7846 -1.1300
Pd -1.5514 -1.5569 -0.4636
Pd 1.4669 -1.0673 -1.3247
```

Calculated formation energy (eV per atom): -0.257
Crystal system: tetragonal
Space-group type: No. 123



# 4
Material: DyNiAs2
Method: DFT, PBE-GGA
State: relaxed

extended XYZ file:
```
4
Lattice="-1.6319 2.9506 1.5828 -3.1500 -0.4320 1.9404 2.5340 -0.3321 7.6148" Properties=species:S:1:pos:R:3 pbc="T T T"
Ni -1.1240 1.0933 5.5690
As 1.0114 0.1000 5.2392
As -3.2593 2.0865 5.8988
Dy 0.0000 0.0000 0.0000
```

Calculated formation energy (eV per atom): -0.122
Crystal system: trigonal
Space-group type: No. 166



# 5
Material: HoPuTh2Bi4
Method: DFT, PBE-GGA
State: relaxed

extended XYZ file:
```
8
Lattice="5.0196 0.0000 0.0000 0.0000 5.3531 2.4091 0.0000 1.9602 9.9739" Properties=species:S:1:pos:R:3 pbc="T T T"
Ho 0.0000 3.6566 6.1915
Pu 2.5099 4.6368 11.1784
Th 0.0000 1.9602 9.9739
Th 2.5098 0.9801 4.9869
Bi 0.0001 5.4763 9.3120
Bi 5.0196 1.8370 3.0710
Bi 2.5099 4.4780 4.3602
Bi 2.5098 2.8353 8.0228
```

Calculated formation energy (eV per atom): -0.478
Crystal system: monoclinic
Space-group type: No. 10



# 6
Material: Tb2DyYTm
Method: DFT, PBE-GGA
State: relaxed

extended XYZ file:
```
10
Lattice="7.1900 0.0000 0.0000 0.0000 8.3243 0.0000 0.0000 -4.1622 5.7077" Properties=species:S:1:pos:R:3 pbc="T T T"
Tb 3.5950 2.5595 0.0000
Tb 0.0000 5.7648 0.0000
Tb 3.5950 5.7648 0.0000
Tb 0.0000 2.5595 0.0000
Dy 1.7975 4.1622 2.4923
Dy 5.3925 0.0000 3.2154
Y 5.3925 4.1622 2.6578
Y 1.7975 0.0000 3.0499
Tm 1.7975 4.1622 5.5736
Tm 5.3925 0.0000 0.1341
```

Calculated formation energy (eV per atom): 0.399
Crystal system: orthorhombic
Space-group type: No. 63



# 7
Material: CsZn2SiPt
Method: DFT, PBE-GGA
State: relaxed

extended XYZ file:
```
5
Lattice="5.0808 0.0000 0.0000 0.0000 5.0808 0.0000 0.0000 0.0000 4.7387" Properties=species:S:1:pos:R:3 pbc="T T T"
Cs 2.5404 2.5404 2.3694
Zn 0.0000 2.5404 0.0000
Zn 2.5404 0.0000 0.0000
Si 0.0000 0.0000 2.3694
Pt 0.0000 0.0000 0.0000
```

Crystal system: tetragonal
Energy relative to the elements, uncorrected (eV/atom): -0.09
Space-group type: No. 123



# 8
Material: LiCd2As2Pd5
Method: DFT, PBE-GGA
State: relaxed

extended XYZ file:
```
20
Lattice="-1.4223 -0.1517 -2.8318 -2.3684 -9.9058 1.7204 -8.9241 2.8853 4.3277" Properties=species:S:1:pos:R:3 pbc="T T T"
Li 0.0000 0.0000 0.0000
Li -5.6463 -3.5102 3.0240
Cd -3.1553 -6.1783 1.9159
Cd -8.1372 -0.8422 4.1322
Cd -3.3178 -0.7900 1.7087
Cd -7.9748 -6.2304 4.3393
As -6.0540 0.4530 3.0165
As -5.2386 -7.4734 3.0316
As -9.1842 -3.8708 4.8203
As -2.1084 -3.1497 1.2277
Pd -1.3601 -2.0326 -0.9851
Pd -11.3547 -5.1396 4.2014
Pd -7.8681 2.0370 2.0656
Pd -6.6701 -5.6516 1.8759
Pd -4.8468 -9.2092 1.1507
Pd -6.0447 -1.5206 1.3404
Pd -8.2139 -3.1869 2.5192
Pd -4.5010 -3.9853 0.6971
Pd -1.8954 -5.0288 -0.5557
Pd -5.1732 1.3668 0.7480
```

Calculated formation energy (eV per atom): -0.277
Crystal system: tetragonal
Space-group type: No. 127



# 9
Material: Sr2CoPN
Method: DFT, PBE-GGA
State: relaxed

extended XYZ file:
```
10
Lattice="-3.1411 -0.1795 2.2991 -1.2959 -5.8445 -2.2269 5.3131 -0.4748 7.2218" Properties=species:S:1:pos:R:3 pbc="T T T"
Sr -0.1085 -5.0781 4.4086
Sr -3.2119 -4.6839 0.1995
Sr 0.9846 -1.4207 2.8854
Sr 4.0880 -1.8150 7.0945
Co 2.5299 -3.3435 4.8465
Co -1.6538 -3.1553 2.4475
P -0.0742 -4.0830 1.2310
P 0.9503 -2.4159 6.0631
N 2.5564 -5.1154 4.7443
N -1.6803 -1.3834 2.5497
```

Crystal system: monoclinic
Energy relative to the elements, uncorrected (eV/atom): -0.71
Space-group type: No. 11



# 10
Material: SmTmPuTh
Method: DFT, PBE-GGA
State: relaxed

extended XYZ file:
```
4
Lattice="5.5810 0.0000 0.0000 2.7905 4.8333 0.0000 2.7905 1.6111 4.5569" Properties=species:S:1:pos:R:3 pbc="T T T"
Tm 0.0000 0.0000 0.0000
Sm 8.3716 4.8333 3.4177
Th 2.7905 1.6111 1.1392
Pu 5.5810 3.2222 2.2785
```

Calculated formation energy (eV per atom): 0.206
Crystal system: cubic
Space-group type: No. 216



# 11
Material: Be2HgIr
Method: DFT, PBE-GGA
State: relaxed

extended XYZ file:
```
4
Lattice="-0.1492 -3.2502 1.7210 -1.0378 -1.1745 -2.3081 4.3975 -1.7071 -2.8428" Properties=species:S:1:pos:R:3 pbc="T T T"
Be 3.9973 -1.8830 -3.2097
Be 0.7487 -2.0758 0.0808
Ir 2.9444 -3.9962 -3.3558
Hg 1.5975 -1.3247 -2.3633
```

Calculated formation energy (eV per atom): 0.008
Crystal system: monoclinic
Space-group type: No. 6



# 12
Material: In3HgAu3
Method: DFT, PBE-GGA
State: relaxed

extended XYZ file:
```
14
Lattice="7.7342 0.0000 0.0000 0.0000 7.7342 0.0000 0.0000 0.0000 7.7342" Properties=species:S:1:pos:R:3 pbc="T T T"
Au 0.0000 1.9336 3.8671
Au 0.0000 5.8007 3.8671
Au 3.8671 0.0000 5.8007
Au 5.8007 3.8671 0.0000
Au 3.8671 0.0000 1.9336
Au 1.9336 3.8671 0.0000
Hg 3.8671 3.8671 3.8671
Hg 0.0000 0.0000 0.0000
In 1.9336 0.0000 3.8671
In 0.0000 3.8671 1.9336
In 3.8671 5.8007 0.0000
In 5.8007 0.0000 3.8671
In 0.0000 3.8671 5.8007
In 3.8671 1.9336 0.0000
```

Calculated formation energy (eV per atom): 0.105
Crystal system: cubic
Space-group type: No. 223



# 13
Material: CeNdTm4
Method: DFT, PBE-GGA
State: relaxed

extended XYZ file:
```
12
Lattice="6.5148 -0.4794 0.0000 -2.8894 5.8587 0.0000 0.0000 0.0000 10.3422" Properties=species:S:1:pos:R:3 pbc="T T T"
Ce 0.0000 0.0000 0.0000
Ce 0.0000 0.0000 5.1711
Nd -1.2961 4.7849 7.7566
Nd 4.9216 0.5944 2.5855
Tm 3.3146 1.6774 9.6380
Tm 0.3108 3.7018 4.4669
Tm 0.3108 3.7018 0.7041
Tm 3.3146 1.6774 5.8752
Tm 1.7848 0.7959 2.5855
Tm 1.8406 4.5833 7.7566
Tm 0.0679 1.9531 7.7566
Tm 3.5575 3.4262 2.5855
```

Calculated formation energy (eV per atom): 0.250
Crystal system: orthorhombic
Space-group type: No. 63



# 14
Material: YAlHgPd
Method: DFT, PBE-GGA
State: relaxed

extended XYZ file:
```
4
Lattice="-2.5469 -3.0110 2.8052 1.7207 -4.4110 1.0024 1.5471 -1.0364 4.4671" Properties=species:S:1:pos:R:3 pbc="T T T"
Y 0.5406 -6.3438 6.2060
Hg 0.3604 -4.2292 4.1373
Pd 0.0000 0.0000 0.0000
Al 0.1802 -2.1146 2.0687
```

Calculated formation energy (eV per atom): -0.564
Crystal system: cubic
Space-group type: No. 216



# 15
Material: ScBeGe2Ru
Method: DFT, PBE-GGA
State: relaxed

extended XYZ file:
```
5
Lattice="4.2351 0.0000 0.0000 0.0000 4.5777 0.0000 0.0000 0.0000 4.2351" Properties=species:S:1:pos:R:3 pbc="T T T"
Sc 0.0000 2.2889 0.0000
Ru 2.1175 2.2889 2.1175
Ge 0.0000 0.0000 2.1175
Ge 2.1175 0.0000 0.0000
Be 0.0000 0.0000 0.0000
```

Calculated formation energy (eV per atom): 0.460
Crystal system: tetragonal
Space-group type: No. 123



# 16
Material: CrCuSi2
Method: DFT, PBE-GGA
State: relaxed

extended XYZ file:
```
8
Lattice="-5.7375 -2.8819 -1.8780 3.2147 -5.7918 -0.9334 -1.7350 -4.9960 1.0530" Properties=species:S:1:pos:R:3 pbc="T T T"
Cr -1.2614 -4.3369 -1.4057
Cr 0.1092 -7.5624 -0.6431
Si -3.7402 -3.8356 -1.0672
Si 0.9806 -5.1677 -0.5149
Si -2.3158 -6.8762 -0.2446
Si -3.4402 -11.4600 -1.6901
Cu 0.0000 0.0000 0.0000
Cu -4.3670 -6.1074 -1.1153
```

Crystal system: tetragonal
Energy relative to the elements, uncorrected (eV/atom): 0.41
Space-group type: No. 122



# 17
Material: Dy2Al5Os
Method: DFT, PBE-GGA
State: relaxed

extended XYZ file:
```
8
Lattice="6.0162 0.0974 0.1388 -2.8772 5.2845 -0.1388 -2.8772 -1.9282 4.9221" Properties=species:S:1:pos:R:3 pbc="T T T"
Dy 0.0824 -0.0481 3.7666
Dy 0.0824 3.5583 1.2361
Al -1.5263 2.4591 3.5047
Al -2.8919 3.2556 1.3029
Al -2.8919 0.1177 3.5047
Al 1.7587 1.0116 1.4417
Al -1.4190 0.8276 1.1795
Os -5.4578 3.1833 4.5367
```

Calculated formation energy (eV per atom): -0.263
Crystal system: tetragonal
Space-group type: No. 107



# 18
Material: Zr2CdRh
Method: DFT, PBE-GGA
State: relaxed

extended XYZ file:
```
4
Lattice="5.1039 -0.0051 -0.0094 -1.6049 4.8450 -0.0094 0.0064 0.0088 3.1488" Properties=species:S:1:pos:R:3 pbc="T T T"
Cd 2.5551 0.0018 1.5697
Rh -0.7993 2.4269 1.5697
Zr 0.0000 0.0000 0.0000
Zr 1.7495 2.4199 -0.0094
```

Calculated formation energy (eV per atom): -0.282
Crystal system: orthorhombic
Space-group type: No. 65



# 19
Material: Cs3Rb2HgF8
Method: DFT, PBE-GGA
State: relaxed

extended XYZ file:
```
14
Lattice="6.6358 0.0000 0.0000 -3.3179 5.7468 0.0000 0.0000 0.0000 9.4507" Properties=species:S:1:pos:R:3 pbc="T T T"
Cs 0.0000 3.8312 5.8233
Cs 3.3179 1.9156 3.6274
Cs 0.0000 0.0000 0.0000
Rb 0.0000 3.8312 1.7009
Rb 3.3179 1.9156 7.7498
Hg 0.0000 0.0000 4.7254
F 0.0000 3.8312 8.6050
F 3.3179 1.9156 0.8457
F -1.7771 4.8572 3.3729
F 5.0950 0.8896 6.0778
F 0.0000 1.7791 3.3729
F 3.3179 3.9677 6.0778
F 1.7771 4.8572 3.3729
F 1.5408 0.8896 6.0778
```

Crystal system: trigonal
Energy relative to the elements, uncorrected (eV/atom): -2.22
Space-group type: No. 164



# 20
Material: Lu3Cd
Method: DFT, PBE-GGA
State: relaxed

extended XYZ file:
```
4
Lattice="3.4176 0.0000 0.0000 0.0000 3.3663 0.0000 0.0000 0.0000 10.0833" Properties=species:S:1:pos:R:3 pbc="T T T"
Lu 0.0000 1.6831 4.7547
Lu 1.7088 1.6831 1.8098
Lu 1.7088 0.0000 7.1557
Cd 0.0000 0.0000 9.8075
```

Calculated formation energy (eV per atom): 0.113
Crystal system: orthorhombic
Space-group type: No. 25



For each record above, in turn, the calculated DOS(E_F) values are 5.2; 4.3; 5.1; 2.2; 12.6; 7.1; 2.8; 4.6; 2.6; 13.0; 0.9; 5.2; 11.6; 0.9; 4.6; 2.0; 4.0; 3.9; 8.6; 5.4 states/eV/f.u..
For each record above, in turn, the calculated size of the total moment values are 0.44; 0.00; 1.97; 0.00; 6.26; 0.00; 0.00; 0.00; 1.13; 8.03; 0.00; 0.00; 1.59; 0.00; 0.00; 2.85; 0.00; 0.00; 1.13; 0.87 μB per formula unit.